Compound: CoReAu
Source: Alexandria
Functional: PBE
Structure: relaxed

Lattice parameters (Å, degrees): 6.049 6.049 2.754 76.84 76.84 26.32
Site moments in Bohr magnetons follow the coordinates.
Fractional positions:
Re 0.686 0.686 0.314  -0.03
Au 0.995 0.995 0.005  0.00
Co 0.319 0.319 0.681  0.35

Results
N(E_F): 3.39 states/eV/f.u.
E_form: 246 meV/atom
energy above the lowest structure with this stoichiometry: 0.00 eV per formula unit

=====

Compound: CoReAu
Source: Alexandria
Functional: PBE
Structure: relaxed

Lattice parameters (Å, degrees): 4.072 4.072 4.072 60.00 60.00 60.00
Site moments in Bohr magnetons follow the coordinates.
Fractional positions:
Re 0.000 0.000 0.000  0.04
Au 0.500 0.500 0.500  0.02
Co 0.750 0.750 0.750  0.30

Results
N(E_F): 5.41 states/eV/f.u.
E_form: 689 meV/atom
energy above the lowest structure with this stoichiometry: 1.33 eV per formula unit

=====

Compound: CoRe2Au2
Source: Alexandria
Functional: PBE
Structure: relaxed

Lattice parameters (Å, degrees): 3.640 3.640 7.124 75.20 75.20 90.00
Site moments in Bohr magnetons follow the coordinates.
Fractional positions:
Au 0.750 0.250 0.500  0.02
Au 0.250 0.750 0.500  0.02
Co 0.000 0.000 0.000  1.58
Re 0.414 0.414 0.171  0.10
Re 0.586 0.586 0.829  0.10

Results
N(E_F): 7.43 states/eV/f.u.
E_form: 1063 meV/atom
energy above the lowest structure with this stoichiometry: 1.34 eV per formula unit

=====

Compound: CoRe2Au2
Source: Alexandria
Functional: PBE
Structure: relaxed

Lattice parameters (Å, degrees): 6.243 6.243 4.295 90.00 90.00 90.00
Site moments in Bohr magnetons follow the coordinates.
Fractional positions:
Re 0.365 0.865 0.000  0.10
Re 0.635 0.135 0.000  0.10
Re 0.135 0.365 0.000  0.10
Re 0.865 0.635 0.000  0.10
Co 0.000 0.000 0.000  1.34
Co 0.500 0.500 0.000  1.34
Au 0.669 0.831 0.500  0.01
Au 0.831 0.331 0.500  0.02
Au 0.169 0.669 0.500  0.02
Au 0.331 0.169 0.500  0.01

Results
N(E_F): 5.27 states/eV/f.u.
E_form: 794 meV/atom
energy above the lowest structure with this stoichiometry: 0.00 eV per formula unit

=====

Compound: Co4ReAu
Source: Alexandria
Functional: PBE
Structure: relaxed

Lattice parameters (Å, degrees): 4.684 4.684 4.684 60.00 60.00 60.00
Fractional positions:
Re 0.250 0.250 0.250
Co 0.625 0.125 0.625
Co 0.625 0.625 0.625
Co 0.625 0.625 0.125
Co 0.125 0.625 0.625
Au 0.000 0.000 0.000

Results
N(E_F): 6.77 states/eV/f.u.
E_form: 261 meV/atom

=====

Compound: Co2ReTeAu
Source: Alexandria
Functional: PBE
Structure: relaxed

Lattice parameters (Å, degrees): 4.657 5.250 4.657 90.00 90.00 90.00
Site moments in Bohr magnetons follow the coordinates.
Fractional positions:
Te 0.000 0.500 0.000  -0.01
Co 0.500 0.000 0.000  1.53
Co 0.000 0.000 0.500  2.38
Au 0.000 0.000 0.000  0.12
Re 0.500 0.500 0.500  3.10

Results
formation energy (no corrections): 1.99 eV/atom
N(E_F): 8.15 states/eV/f.u.

=====

no.,size of the total moment (μB per atom),calculated volume (Å³ per cell)
1,0.105,43.44
2,0.127,47.75
3,0.367,88.02
4,0.324,167.37
5,0.000,72.68
6,1.529,113.86